VASP calculation (PBE-GGA) on an optimized crystal structure of Tc2SbCl.

Summary:
As for the formation energy without anion corrections: 88 meV/atom. The value obtained for the raw total energy is -26.349 eV per formula unit. For the spin magnetization, the calculation gives 0.00 μB per formula unit. The polymorph energy (0 for the lowest one) is 0.1781 eV per atom.

Cell lengths 3.756, 4.748, 9.363 Å; angles 103.69, 99.12, 94.53 degrees
Fractional positions:
Tc (0.083, 0.663, 0.657)
Tc (0.543, 0.945, 0.289)
Tc (0.010, 0.083, 0.484)
Tc (0.799, 0.690, 0.858)
Sb (0.490, 0.500, 0.418)
Sb (0.632, 0.125, 0.723)
Cl (0.301, 0.544, 0.017)
Cl (0.870, 0.078, 0.106)



VASP calculation (PBE-GGA) on an optimized crystal structure of HfZrPa.

Summary:
Its formation energy is 0.2488 eV per atom. The value obtained for the raw total energy is -27.251 eV per formula unit. For the spin magnetization, the calculation gives 0.00 μB per formula unit. The polymorph energy (0 for the lowest one) is 0.2213 eV per atom.

Cell lengths 4.398, 4.398, 7.680 Å; angles 81.01, 81.01, 90.04 degrees
Fractional positions:
Pa (0.157, 0.157, 0.337)
Pa (0.843, 0.843, 0.663)
Hf (0.345, 0.345, 0.691)
Hf (0.655, 0.655, 0.309)
Zr (0.250, 0.750, 0.000)
Zr (0.750, 0.250, 0.000)



VASP calculation (PBE-GGA) on an optimized crystal structure of Dy6Mg2Ni.

Summary:
Its formation energy is -0.0366 eV per atom. The value obtained for the raw total energy is -36.912 eV per formula unit. For the spin magnetization, the calculation gives 0.00 μB per formula unit.

Cell lengths 7.438, 7.274, 9.683 Å; angles 90.00, 90.97, 90.00 degrees
Fractional positions:
Dy (0.747, 0.251, 0.535)
Dy (0.247, 0.249, 0.035)
Dy (0.555, 0.500, 0.260)
Dy (0.055, 0.000, 0.760)
Dy (0.752, 0.249, 0.965)
Dy (0.252, 0.251, 0.465)
Dy (0.253, 0.749, 0.465)
Dy (0.248, 0.751, 0.035)
Dy (0.445, 0.500, 0.740)
Dy (0.748, 0.749, 0.535)
Dy (0.945, 0.000, 0.240)
Dy (0.753, 0.751, 0.965)
Mg (0.986, 0.500, 0.247)
Mg (0.514, 0.000, 0.253)
Mg (0.014, 0.500, 0.753)
Mg (0.486, 0.000, 0.747)
Ni (0.000, 0.000, 0.500)
Ni (0.500, 0.500, 0.000)



Copy entry 2 word for word.
VASP calculation (PBE-GGA) on an optimized crystal structure of HfZrPa.

Summary:
Its formation energy is 0.2488 eV per atom. The value obtained for the raw total energy is -27.251 eV per formula unit. For the spin magnetization, the calculation gives 0.00 μB per formula unit. The polymorph energy (0 for the lowest one) is 0.2213 eV per atom.

Cell lengths 4.398, 4.398, 7.680 Å; angles 81.01, 81.01, 90.04 degrees
Fractional positions:
Pa (0.157, 0.157, 0.337)
Pa (0.843, 0.843, 0.663)
Hf (0.345, 0.345, 0.691)
Hf (0.655, 0.655, 0.309)
Zr (0.250, 0.750, 0.000)
Zr (0.750, 0.250, 0.000)



Please write out number 1 again, unchanged.
VASP calculation (PBE-GGA) on an optimized crystal structure of Tc2SbCl.

Summary:
As for the formation energy without anion corrections: 88 meV/atom. The value obtained for the raw total energy is -26.349 eV per formula unit. For the spin magnetization, the calculation gives 0.00 μB per formula unit. The polymorph energy (0 for the lowest one) is 0.1781 eV per atom.

Cell lengths 3.756, 4.748, 9.363 Å; angles 103.69, 99.12, 94.53 degrees
Fractional positions:
Tc (0.083, 0.663, 0.657)
Tc (0.543, 0.945, 0.289)
Tc (0.010, 0.083, 0.484)
Tc (0.799, 0.690, 0.858)
Sb (0.490, 0.500, 0.418)
Sb (0.632, 0.125, 0.723)
Cl (0.301, 0.544, 0.017)
Cl (0.870, 0.078, 0.106)



Q: Look up the spin magnetization of the second one.
A: 0.00 μB per formula unit



Q: Look up the spin magnetization of the second one.
A: 0.00 μB per formula unit